# 1
PBE TbEr12Tl3, relaxed; volume = 458.2 Å³/f.u.; space-group type = No. 123; ΔE_f = -0.1181 eV per atom; magnetization = 0.0 μB/cell
1.0
4.826 0.000 0.000
0.000 4.826 0.000
0.000 0.000 19.679
Tb Er Tl
1 12 3
Direct
0.000 0.000 0.000 Tb
0.000 0.500 0.130 Er
0.000 0.500 0.377 Er
0.000 0.500 0.623 Er
0.000 0.500 0.870 Er
0.500 0.000 0.130 Er
0.500 0.000 0.377 Er
0.500 0.000 0.623 Er
0.500 0.000 0.870 Er
0.500 0.500 0.000 Er
0.500 0.500 0.255 Er
0.500 0.500 0.500 Er
0.500 0.500 0.745 Er
0.000 0.000 0.256 Tl
0.000 0.000 0.500 Tl
0.000 0.000 0.744 Tl

# 2
PBE Tb7ErTl5, relaxed; volume = 386.6 Å³/f.u.; space-group type = No. 44; ΔE_f = -0.1444 eV per atom; magnetization = 0.0 μB/cell
1.0
-3.284 5.412 5.437
3.284 -5.412 5.437
3.284 5.412 -5.437
Tb Er Tl
7 1 5
Direct
0.000 0.000 0.000 Tb
0.295 0.633 0.662 Tb
0.325 0.325 0.000 Tb
0.429 0.118 0.312 Tb
0.806 0.118 0.688 Tb
0.860 0.360 0.500 Tb
0.972 0.633 0.338 Tb
0.666 0.666 0.000 Er
0.112 0.122 0.486 Tl
0.112 0.626 0.991 Tl
0.390 0.890 0.500 Tl
0.636 0.122 0.009 Tl
0.636 0.626 0.514 Tl

# 3
PBE TbEr7Tl3, relaxed; volume = 345.4 Å³/f.u.; space-group type = No. 156; ΔE_f = -0.0521 eV per atom; magnetization = 2.3 μB/cell
1.0
7.132 0.000 0.000
-3.566 6.177 0.000
0.000 0.000 7.840
Tb Er Tl
1 7 3
Direct
0.000 0.000 0.000 Tb
0.007 0.504 0.993 Er
0.327 0.163 0.353 Er
0.333 0.667 0.345 Er
0.496 0.504 0.993 Er
0.496 0.993 0.993 Er
0.837 0.163 0.353 Er
0.837 0.673 0.353 Er
0.167 0.335 0.672 Tl
0.167 0.833 0.672 Tl
0.665 0.833 0.672 Tl